1.
DFT (PBE) results for crystalline Rb4U3ZnSe8 at its relaxed geometry.

**M_tot**: 7.9 Bohr magnetons per cell
**ΔE_f (raw)**: -1710 kJ/mol of formula units

Structure (POSCAR):
```
Rb4U3ZnSe8
1.0
-2.7683 5.7370 5.6399
5.7846 -3.5378 6.4381
3.4727 2.5725 -7.3295
Zn Se Rb U
1 8 4 3
direct
0.0000 0.5000 0.0000 Zn
0.2274 0.6890 0.9616 Se
0.7342 0.6890 0.9616 Se
0.7726 0.3110 0.0384 Se
0.2275 0.6891 0.4550 Se
0.2671 0.3012 0.5342 Se
0.7329 0.6988 0.4658 Se
0.2658 0.3110 0.0384 Se
0.7725 0.3109 0.5450 Se
0.5000 0.0000 0.0000 Rb
0.0000 0.0000 0.5000 Rb
0.5000 0.0000 0.5000 Rb
0.0000 0.0000 0.0000 Rb
0.5000 0.5000 0.0000 U
0.0000 0.5000 0.5000 U
0.5000 0.5000 0.5000 U
```



2.
DFT (PBE) results for crystalline RbB3N at its relaxed geometry.

**E above lowest polymorph**: 0.000 eV/atom
**M_tot**: 0.0 Bohr magnetons per cell
**ΔE_f (raw)**: 1294 kJ/mol of formula units

Structure (POSCAR):
```
RbB3N
1.0
4.1201 0.0000 0.0000
0.0000 4.1201 0.0000
0.0000 0.0000 4.1201
B Rb N
3 1 1
direct
0.5000 0.0000 0.0000 B
0.0000 0.0000 0.5000 B
0.0000 0.5000 0.0000 B
0.5000 0.5000 0.5000 Rb
0.0000 0.0000 0.0000 N
```



3.
DFT (PBE) results for crystalline Nd3SbPN at its relaxed geometry.

**M_tot**: 0.0 Bohr magnetons per cell
**ΔE_f (raw)**: -725 kJ/mol of formula units

Structure (POSCAR):
```
Nd3SbPN
1.0
4.2340 0.0000 0.0000
0.0000 8.8275 0.6506
0.0000 -2.7250 9.1013
P N Nd Sb
2 2 6 2
direct
0.2500 0.6536 0.1510 P
0.7500 0.3464 0.8490 P
0.7500 0.9084 0.3988 N
0.2500 0.0916 0.6012 N
0.2500 0.8371 0.4824 Nd
0.7500 0.1629 0.5176 Nd
0.7500 0.4261 0.1516 Nd
0.2500 0.1111 0.8402 Nd
0.2500 0.5739 0.8484 Nd
0.7500 0.8889 0.1598 Nd
0.7500 0.8162 0.7798 Sb
0.2500 0.1838 0.2202 Sb
```



So what do the calculations give for E? Going down the list: -84.6; -15.9; -79.3 eV per cell.
So what do the calculations give for N(E_F)? Going down the list: 1.060; 0.592; 0.095 states/eV per atom.